1.
Compound: LiPu2F11
Source: Alexandria
Functional: PBE
Structure: relaxed

POSCAR file:
```
LiPu2F11
1.0
-8.324 -3.297 -0.086
-3.554 -2.999 -7.083
-1.533 -8.306 0.679
Li Pu F
2 4 22
direct
0.750 0.750 0.750 Li
0.250 0.250 0.250 Li
0.635 0.698 0.302 Pu
0.365 0.302 0.698 Pu
0.865 0.198 0.802 Pu
0.135 0.802 0.198 Pu
0.592 0.722 0.554 F
0.408 0.278 0.446 F
0.132 0.554 0.722 F
0.908 0.946 0.778 F
0.868 0.446 0.278 F
0.092 0.054 0.222 F
0.368 0.778 0.946 F
0.632 0.222 0.054 F
0.500 0.500 0.500 F
0.000 0.000 0.000 F
0.846 0.792 0.208 F
0.154 0.208 0.792 F
0.654 0.292 0.708 F
0.346 0.708 0.292 F
0.433 0.975 0.295 F
0.567 0.025 0.705 F
0.297 0.295 0.975 F
0.067 0.205 0.525 F
0.703 0.705 0.025 F
0.933 0.795 0.475 F
0.203 0.525 0.205 F
0.797 0.475 0.795 F
```

Computed properties:
Energy relative to the elements, uncorrected in eV per atom: -3.069

2.
Compound: RbMg2TiRu
Source: Alexandria
Functional: PBE
Structure: relaxed

POSCAR file:
```
RbMg2TiRu
1.0
5.426 0.000 0.000
0.000 5.576 0.000
0.000 0.000 5.426
Ru Mg Rb Ti
1 2 1 1
direct
0.500 0.500 0.500 Ru
0.000 0.000 0.500 Mg
0.500 0.000 0.000 Mg
0.000 0.500 0.000 Rb
0.000 0.000 0.000 Ti
```

Computed properties:
ΔE_f in eV/atom: 1.85